# KZrCl, PBEsol geometry, DFT SCAN
# Distance to the lowest polymorph of the same formula in eV/f.u.: 0.00
# DOS(E_F) in states/eV/cell: 1.08
# Total moment in μB per atom: 0.00
# Total energy in eV per cell: -48.83
data_KZrCl
_chemical_formula_sum 'K1 Zr1 Cl1'
_symmetry_space_group_name_H-M 'P 3 m 1'
_symmetry_Int_Tables_number 156
_cell_length_a 3.3903
_cell_length_b 3.3903
_cell_length_c 7.4107
_cell_angle_alpha 90.00
_cell_angle_beta 90.00
_cell_angle_gamma 120.00
loop_
_symmetry_equiv_pos_as_xyz
'x,y,z'
'-y,x-y,z'
'-x+y,-x,z'
'-y,-x,z'
'-x+y,y,z'
'x,x-y,z'
loop_
_atom_site_label
_atom_site_type_symbol
_atom_site_fract_x
_atom_site_fract_y
_atom_site_fract_z
K1 K 0.0000 0.0000 0.0000
Zr1 Zr 0.3333 0.6667 0.5696
Cl1 Cl 0.6667 0.3333 0.3292